No. 1
! MgTiSnP3O12 (SCAN, PBEsol geometry); values from VASP
&SYSTEM
  ibrav = 0, nat = 36, ntyp = 5
/
ATOMIC_SPECIES
Ti 47.87 Ti.upf
O 16.00 O.upf
P 30.97 P.upf
Sn 118.71 Sn.upf
Mg 24.30 Mg.upf
ATOMIC_POSITIONS angstrom
Ti -1.379 -2.145 1.531
O -3.732 -7.858 9.483
O -7.559 -6.702 3.100
O -5.354 -3.461 6.779
P -8.003 -6.873 6.641
P -5.486 -10.540 3.771
Sn -3.413 -5.311 3.790
O -4.251 -11.498 3.914
Ti -6.191 -9.632 6.874
P -3.318 -8.737 8.250
O -2.076 -9.521 4.088
P -1.587 -8.068 4.023
O -4.181 -5.446 5.736
O -1.990 -8.331 7.630
P -6.287 -6.205 2.400
O -4.179 -5.271 8.150
O -7.795 -10.469 6.127
Mg -4.839 -7.529 5.373
O -5.452 -9.515 4.931
O -5.196 -6.378 3.516
O -5.218 -11.271 7.324
O -1.756 -4.549 4.621
O -9.092 -7.211 5.562
O -4.406 -8.598 7.158
O -0.519 -7.765 5.103
O -4.482 -3.657 3.417
O -5.503 -9.757 2.466
O -6.898 -9.240 8.657
O -5.903 -7.095 1.193
Sn -8.225 -12.797 9.133
Mg -0.027 -0.042 0.030
O -2.887 -7.256 4.365
P -4.121 -4.390 6.895
O -7.607 -5.405 6.669
O -2.765 -5.801 1.958
O -6.729 -7.696 6.330
CELL_PARAMETERS angstrom
-5.911 -1.524 5.986
-4.916 -6.957 -0.731
1.203 -6.493 5.430
! Formation energy (no corrections), eV/atom: -2.57
! Space group: R3c (161)
! Total magnetic moment, μB per atom: 0.056

---

No. 2
! SrMgP2O (SCAN, PBEsol geometry); values from VASP
&SYSTEM
  ibrav = 0, nat = 5, ntyp = 4
/
ATOMIC_SPECIES
P 30.97 P.upf
Mg 24.30 Mg.upf
O 16.00 O.upf
Sr 87.62 Sr.upf
ATOMIC_POSITIONS angstrom
P 0.180 2.633 0.589
Mg -3.000 2.540 1.974
O -1.917 0.347 -0.965
P -1.263 -0.440 2.350
Sr 0.000 0.000 0.000
CELL_PARAMETERS angstrom
-3.834 0.694 -1.931
-2.526 -0.880 4.700
0.359 5.266 1.178
! Formation energy (no corrections), eV/atom: 0.47
! Space group: P4/mmm (123)
! Total magnetic moment, μB per atom: 0.433

---

No. 3
! SrMgVP2O8 (SCAN, PBEsol geometry); values from VASP
&SYSTEM
  ibrav = 0, nat = 26, ntyp = 5
/
ATOMIC_SPECIES
Sr 87.62 Sr.upf
O 16.00 O.upf
P 30.97 P.upf
Mg 24.30 Mg.upf
V 50.94 V.upf
ATOMIC_POSITIONS angstrom
Sr 2.241 -2.097 7.905
O 3.813 -0.434 1.124
P -1.283 4.044 5.817
O 3.967 -1.727 5.849
Mg 3.937 0.279 5.521
O 2.736 2.472 1.693
O 0.034 0.649 6.663
O 0.237 2.639 1.020
O 2.533 0.482 7.336
P 4.053 -0.923 2.539
O 1.993 0.608 4.984
P 1.481 1.108 6.372
O -1.043 3.555 7.232
O -1.713 2.930 4.793
Sr 0.530 5.218 0.451
O 1.569 2.643 6.439
O 4.484 0.191 3.563
O 0.961 -1.989 5.281
V 1.762 3.732 4.705
O 1.810 5.110 3.075
V 1.008 -0.611 3.651
O -1.197 4.848 2.507
Mg -1.166 2.842 2.835
O 1.202 0.478 1.917
P 1.290 2.013 1.984
O 0.778 2.513 3.372
CELL_PARAMETERS angstrom
5.497 -0.006 0.034
-0.973 6.762 -0.007
-1.754 -3.634 8.329
! Formation energy (no corrections), eV/atom: -2.86
! Space group: P-1 (2)
! Total magnetic moment, μB per atom: 0.231

---

No. 4
! MgTePO2 (SCAN, PBEsol geometry); values from VASP
&SYSTEM
  ibrav = 0, nat = 5, ntyp = 4
/
ATOMIC_SPECIES
Mg 24.30 Mg.upf
Te 127.60 Te.upf
O 16.00 O.upf
P 30.97 P.upf
ATOMIC_POSITIONS angstrom
Mg 0.000 0.000 0.000
Te -2.331 -0.610 2.989
O -1.480 -1.225 -0.161
O 0.635 -0.969 1.541
P -1.486 1.584 1.609
CELL_PARAMETERS angstrom
-2.961 -2.450 -0.321
1.270 -1.939 3.082
-2.971 3.169 3.217
! Formation energy (no corrections), eV/atom: -0.37
! Space group: P4/mmm (123)
! Total magnetic moment, μB per atom: 0.456

---

No. 5
! Mg2Ti5P6O24 (SCAN, PBEsol geometry); values from VASP
&SYSTEM
  ibrav = 0, nat = 37, ntyp = 4
/
ATOMIC_SPECIES
O 16.00 O.upf
P 30.97 P.upf
Ti 47.87 Ti.upf
Mg 24.30 Mg.upf
ATOMIC_POSITIONS angstrom
O 4.053 1.352 7.573
P 3.799 -0.082 6.988
Ti 2.813 -1.636 4.221
Mg 4.832 1.444 4.504
O 4.999 -0.929 7.419
O 2.619 5.102 5.331
O 2.349 -0.197 2.931
Ti -0.587 -0.843 1.163
O -0.693 -3.230 4.095
P -1.873 1.954 2.437
P 2.333 0.578 1.635
Ti 2.513 2.714 8.263
O 0.896 1.515 8.616
O -3.146 0.087 6.897
Mg -2.906 0.428 4.922
O -0.444 -0.233 7.524
Ti 1.043 3.651 2.085
O 2.465 -0.625 7.489
O -3.073 2.800 2.006
O -0.323 -0.918 3.114
O -1.799 1.871 4.002
O -0.424 2.069 6.495
P -0.407 1.293 7.791
P 2.363 3.596 5.041
O 2.249 2.790 6.311
O 1.030 0.357 0.810
Ti 0.883 -1.780 7.340
O 3.725 0.001 5.423
O -0.539 2.497 1.936
O 0.898 -1.621 5.217
O 2.370 2.104 1.901
P -0.437 -1.724 4.384
O 3.529 3.014 4.187
O 5.071 1.784 2.528
O -2.127 0.520 1.852
O 1.028 3.493 4.208
O -1.603 -1.143 5.238
CELL_PARAMETERS angstrom
-3.700 5.144 0.984
-2.985 -5.246 5.158
8.611 1.973 3.283
! Formation energy (no corrections), eV/atom: -2.82
! Space group: P-1 (2)
! Total magnetic moment, μB per atom: 0.162

---

No. 6
! MgTi2P3O12 (SCAN, PBEsol geometry); values from VASP
&SYSTEM
  ibrav = 0, nat = 36, ntyp = 4
/
ATOMIC_SPECIES
O 16.00 O.upf
P 30.97 P.upf
Ti 47.87 Ti.upf
Mg 24.30 Mg.upf
ATOMIC_POSITIONS angstrom
O -12.185 -2.208 2.943
O -12.587 2.669 6.062
O -7.606 -0.321 4.511
O -6.175 1.758 1.500
O -7.744 2.145 3.705
O -7.236 -2.780 4.959
P -11.696 2.957 2.605
Ti -12.074 1.034 5.238
O -11.518 4.386 3.177
O -6.569 3.815 5.193
O -11.148 1.928 3.625
Ti -16.057 1.376 6.966
O -8.577 0.226 2.164
O -13.591 0.802 4.116
O -14.827 0.136 7.717
O -9.152 0.932 -0.193
O -3.826 -1.298 1.197
Mg -9.377 0.803 4.068
Mg 0.000 0.000 0.000
O -6.167 -1.062 2.074
P -9.031 -0.276 0.770
P -9.723 1.882 7.365
O -14.928 2.905 6.938
Ti -6.680 0.572 2.898
P -11.401 -2.028 4.267
O -12.579 -0.151 6.636
O -15.881 0.869 5.142
O -2.873 0.738 2.994
P -7.353 3.635 3.868
O -5.163 0.804 4.020
O -9.602 0.675 8.328
O -10.177 1.380 5.971
O -11.010 -0.538 4.430
O -3.927 1.471 0.418
Ti -2.697 0.231 1.170
P -7.059 -1.351 5.531
CELL_PARAMETERS angstrom
-8.034 1.990 -1.684
-6.158 -4.286 3.879
-4.562 3.903 5.941
! Formation energy (no corrections), eV/atom: -2.86
! Space group: R-3c (167)
! Total magnetic moment, μB per atom: 0.056

---

No. 7
! MgTiPO2 (SCAN, PBEsol geometry); values from VASP
&SYSTEM
  ibrav = 0, nat = 5, ntyp = 4
/
ATOMIC_SPECIES
O 16.00 O.upf
Ti 47.87 Ti.upf
Mg 24.30 Mg.upf
P 30.97 P.upf
ATOMIC_POSITIONS angstrom
O 1.883 0.000 0.000
O 0.000 1.883 0.000
Ti 0.000 0.000 0.000
Mg 1.883 1.883 2.578
P 0.000 0.000 2.578
CELL_PARAMETERS angstrom
3.765 0.000 0.000
0.000 3.765 0.000
0.000 0.000 5.157
! Formation energy (no corrections), eV/atom: -1.70
! Space group: P4/mmm (123)
! Total magnetic moment, μB per atom: 0.000

---

No. 8
! MgTiVP3O12 (SCAN, PBEsol geometry); values from VASP
&SYSTEM
  ibrav = 0, nat = 36, ntyp = 5
/
ATOMIC_SPECIES
O 16.00 O.upf
P 30.97 P.upf
Ti 47.87 Ti.upf
Mg 24.30 Mg.upf
V 50.94 V.upf
ATOMIC_POSITIONS angstrom
O 3.989 -7.440 3.639
O 0.921 -4.667 4.539
O 3.115 -4.393 11.525
P 0.618 -4.100 8.037
O 7.083 -8.695 12.362
O 6.184 -7.161 10.585
O 4.446 -9.248 13.165
Ti 6.070 -10.152 12.954
Mg 0.010 -0.016 0.021
P 6.467 -7.738 7.069
V 4.549 -7.608 9.709
O 7.706 -6.873 7.430
O 4.282 -4.266 6.455
O 5.715 -10.899 11.276
O 2.823 -7.629 8.659
O 4.167 -5.628 9.598
Mg 3.553 -5.943 7.584
O 3.556 -3.968 3.851
P 4.367 -4.475 10.609
O 2.136 -2.426 5.725
O 1.772 -9.796 7.920
O 2.891 -6.238 5.562
V 1.006 -1.682 2.146
O 4.952 -9.443 9.374
P 5.520 -3.335 6.341
O 0.393 -7.659 8.286
P 2.708 -7.361 4.503
O -0.583 -5.010 7.686
P 1.556 -8.510 8.765
O 4.604 -3.217 9.794
O 3.501 -7.878 11.281
O 1.877 -4.630 7.296
O 5.245 -7.207 7.856
O 6.096 -7.679 5.598
O 5.286 -2.088 7.226
Ti 2.526 -4.225 5.392
CELL_PARAMETERS angstrom
-2.266 -5.050 6.350
4.724 -6.754 1.739
4.630 -0.050 7.037
! Formation energy (no corrections), eV/atom: -2.76
! Space group: R3c (161)
! Total magnetic moment, μB per atom: 0.111

---

No. 9
! MgTiP3WO12 (SCAN, PBEsol geometry); values from VASP
&SYSTEM
  ibrav = 0, nat = 36, ntyp = 5
/
ATOMIC_SPECIES
O 16.00 O.upf
Mg 24.30 Mg.upf
Ti 47.87 Ti.upf
P 30.97 P.upf
W 183.84 W.upf
ATOMIC_POSITIONS angstrom
O -3.088 1.616 8.623
Mg -0.017 -0.776 10.326
Ti -0.028 -1.335 17.757
P -0.868 2.041 12.335
O 3.097 -3.196 12.117
O -1.655 2.452 11.094
Mg -0.033 -1.556 20.695
O 1.654 -4.020 9.657
O -1.470 -0.300 8.851
O -0.432 -4.417 8.174
P -2.970 0.056 8.706
W -0.021 -1.000 13.301
O 1.030 0.412 8.909
O -3.552 -2.478 12.160
O -0.400 0.579 12.025
O 3.479 0.893 8.579
O 1.552 -1.089 6.402
O -3.696 -0.548 9.910
P 0.851 -3.557 8.441
P 2.078 1.549 8.827
W -0.005 -0.220 2.931
O 0.236 -2.760 14.181
O -1.316 -1.531 6.364
O 1.310 -0.010 14.389
O 3.639 -1.036 10.840
O 1.452 -1.304 11.887
P -2.159 -3.120 11.945
O -1.109 -1.962 11.833
Ti -0.012 -0.555 7.387
O -2.037 -3.863 10.618
O 0.396 2.904 12.571
O 0.398 -2.103 8.719
P 2.969 -1.654 12.063
O -0.266 1.167 6.568
O -1.615 -0.457 14.351
O 1.994 2.335 10.136
CELL_PARAMETERS angstrom
-3.284 3.242 7.191
-1.641 -5.226 6.556
4.892 0.425 6.992
! Formation energy (no corrections), eV/atom: -2.53
! Space group: R3c (161)
! Total magnetic moment, μB per atom: 0.167

---

No. 10
! MgTlPO2 (SCAN, PBEsol geometry); values from VASP
&SYSTEM
  ibrav = 0, nat = 5, ntyp = 4
/
ATOMIC_SPECIES
Mg 24.30 Mg.upf
O 16.00 O.upf
Tl 204.38 Tl.upf
P 30.97 P.upf
ATOMIC_POSITIONS angstrom
Mg 2.066 2.066 2.633
O 2.066 0.000 0.000
Tl 0.000 0.000 0.000
P 0.000 0.000 2.633
O 0.000 2.066 0.000
CELL_PARAMETERS angstrom
4.132 0.000 0.000
0.000 4.132 0.000
0.000 0.000 5.265
! Formation energy (no corrections), eV/atom: 0.17
! Space group: P4/mmm (123)
! Total magnetic moment, μB per atom: 0.203

---

No. 11
! MgTlP2O (SCAN, PBEsol geometry); values from VASP
&SYSTEM
  ibrav = 0, nat = 5, ntyp = 4
/
ATOMIC_SPECIES
O 16.00 O.upf
Tl 204.38 Tl.upf
Mg 24.30 Mg.upf
P 30.97 P.upf
ATOMIC_POSITIONS angstrom
O -0.638 0.736 1.531
Tl 2.732 1.175 2.724
Mg 0.000 0.000 0.000
P 1.742 1.851 -0.164
P 1.628 -1.412 1.357
CELL_PARAMETERS angstrom
-1.276 1.472 3.063
3.256 -2.824 2.714
3.483 3.701 -0.328
! Formation energy (no corrections), eV/atom: 0.21
! Space group: P4/mmm (123)
! Total magnetic moment, μB per atom: 0.000

---

No. 12
! MgVP2O7 (SCAN, PBEsol geometry); values from VASP
&SYSTEM
  ibrav = 0, nat = 22, ntyp = 4
/
ATOMIC_SPECIES
P 30.97 P.upf
O 16.00 O.upf
Mg 24.30 Mg.upf
V 50.94 V.upf
ATOMIC_POSITIONS angstrom
P -7.709 -0.240 3.943
O -5.838 0.877 6.617
O -3.918 2.544 6.728
O -5.622 1.657 0.706
O -1.558 0.042 3.268
Mg -4.945 1.200 2.784
V -2.271 0.550 1.269
O -5.987 2.978 5.417
P -4.460 -1.835 1.662
Mg -4.956 -0.684 5.632
V -7.630 -0.033 7.147
O -3.709 0.575 4.539
O -3.174 2.150 2.283
O -4.279 -1.141 7.710
O -3.914 -2.461 2.999
O -4.063 -0.360 1.799
P -2.191 0.756 4.474
O -6.726 -1.633 6.133
O -8.343 0.475 5.148
O -6.192 -0.058 3.878
P -5.441 2.352 6.755
O -5.983 -2.027 1.688
CELL_PARAMETERS angstrom
-4.397 2.948 -0.318
-5.007 -3.840 1.517
-0.496 1.409 7.217
! Formation energy (no corrections), eV/atom: -2.66
! Space group: P-1 (2)
! Total magnetic moment, μB per atom: 0.273
! Distance to the lowest polymorph of the same formula, eV per formula unit: 0.08

---

No. 13
! MgVP2O7 (SCAN, PBEsol geometry); values from VASP
&SYSTEM
  ibrav = 0, nat = 44, ntyp = 4
/
ATOMIC_SPECIES
Mg 24.30 Mg.upf
O 16.00 O.upf
P 30.97 P.upf
V 50.94 V.upf
ATOMIC_POSITIONS angstrom
Mg -4.524 -5.254 1.262
O -2.404 -4.892 -6.412
O -3.507 -4.856 -3.258
O -4.371 -2.694 -2.214
O -3.223 -1.825 -4.859
O -2.066 -6.816 -4.921
O 1.448 -2.477 -7.412
P -2.939 -6.383 -6.112
O 0.807 -6.200 -5.562
Mg 0.960 -3.640 -9.039
P -1.900 -4.816 -0.213
O -0.402 -4.825 -8.009
O -4.390 -6.177 -5.654
O -2.207 -6.133 -0.935
O -1.356 -2.762 -6.842
P -1.664 -4.079 -7.564
O 0.827 -2.718 -2.123
O -5.011 -6.417 -0.365
O 1.943 -5.284 -3.508
O -0.767 -1.662 -0.434
P -3.023 -9.232 -3.546
Mg -2.268 -6.347 -2.944
P -0.540 0.337 -4.231
V -0.281 -7.908 -4.857
O -1.497 -2.079 -2.856
V -3.392 -7.775 -0.290
P -4.692 -3.967 -3.012
O -0.417 -0.729 -5.324
P -0.624 -2.512 -1.665
O -0.057 -4.039 -4.519
O -5.776 -4.740 -2.102
O 2.212 -4.155 -5.675
O -3.162 -4.070 0.233
V -0.171 -1.119 -7.487
O -1.592 -9.386 -4.073
O -1.971 0.491 -3.704
P 1.129 -4.928 -4.765
O -5.507 -3.611 -4.268
O -0.340 -7.069 -2.918
O -2.796 -7.232 -7.343
V -3.282 -0.987 -2.919
O -1.159 -4.003 -1.365
O -3.146 -8.166 -2.452
Mg -1.296 -2.547 -4.833
CELL_PARAMETERS angstrom
-2.307 3.173 -5.811
4.235 -5.543 -4.707
-5.492 -6.524 2.742
! Formation energy (no corrections), eV/atom: -2.66
! Space group: P2_1/c (14)
! Total magnetic moment, μB per atom: 0.273
! Distance to the lowest polymorph of the same formula, eV per formula unit: 0.00